[1]
Computed, not measured: crystalline Nd2WN4 at its relaxed geometry at the GGA-PBE level of DFT.

The uncorrected energy comes out at -509.894 eV per cell.

Geometry as CIF:
```
data_Nd2WN4
_cell_length_a 6.729
_cell_length_b 10.625
_cell_length_c 12.979
_cell_angle_alpha 90.00
_cell_angle_beta 90.00
_cell_angle_gamma 90.00
_space_group_name_H-M_alt 'F d d d'
_space_group_IT_number 70
loop_
_space_group_symop_operation_xyz
'x,y,z'
'-x,-y,-z'
'-x+1/4,-y+1/4,z'
'x+1/4,y+1/4,-z'
'x,-y+1/4,-z+1/4'
'-x,y+1/4,z+1/4'
'-x+1/4,y,-z+1/4'
'x+1/4,-y,z+1/4'
'x,y+1/2,z+1/2'
'-x,-y+1/2,-z+1/2'
'-x+1/4,-y+3/4,z+1/2'
'x+1/4,y+3/4,-z+1/2'
'x,-y+3/4,-z+3/4'
'-x,y+3/4,z+3/4'
'-x+1/4,y+1/2,-z+3/4'
'x+1/4,-y+1/2,z+3/4'
'x+1/2,y,z+1/2'
'-x+1/2,-y,-z+1/2'
'-x+3/4,-y+1/4,z+1/2'
'x+3/4,y+1/4,-z+1/2'
'x+1/2,-y+1/4,-z+3/4'
'-x+1/2,y+1/4,z+3/4'
'-x+3/4,y,-z+3/4'
'x+3/4,-y,z+3/4'
'x+1/2,y+1/2,z'
'-x+1/2,-y+1/2,-z'
'-x+3/4,-y+3/4,z'
'x+3/4,y+3/4,-z'
'x+1/2,-y+3/4,-z+1/4'
'-x+1/2,y+3/4,z+1/4'
'-x+3/4,y+1/2,-z+1/4'
'x+3/4,-y+1/2,z+1/4'
loop_
_atom_site_label
_atom_site_fract_x
_atom_site_fract_y
_atom_site_fract_z
Nd1 0.125 0.316 0.125
W1 0.125 0.125 0.625
N1 0.034 0.260 0.949
```

[2]
Computed, not measured: crystalline LiGdSnPb at its relaxed geometry at the GGA-PBE level of DFT.

Its energy relative to the elements is -0.386 eV/atom. The calculation puts the density of states at the Fermi level at 2.68 states/eV/f.u. The uncorrected energy comes out at -101.002 eV per cell.

Geometry as CIF:
```
data_LiGdSnPb
_cell_length_a 7.463
_cell_length_b 7.463
_cell_length_c 7.463
_cell_angle_alpha 90.00
_cell_angle_beta 90.00
_cell_angle_gamma 90.00
_space_group_name_H-M_alt 'F -4 3 m'
_space_group_IT_number 216
_space_group_name_Hall 'F -4 2 3'
loop_
_atom_site_label
_atom_site_fract_x
_atom_site_fract_y
_atom_site_fract_z
Li1 0.000 0.000 0.000
Gd1 0.000 0.000 0.500
Sn1 0.250 0.250 0.250
Pb1 0.250 0.250 0.750
```

[3]
Computed, not measured: crystalline ZrTaGe2 at its relaxed geometry at the GGA-PBE level of DFT.

Its energy relative to the elements is 0.598 eV/atom. The calculation puts the density of states at the Fermi level at 2.76 states/eV/f.u. The uncorrected energy comes out at -108.976 eV per cell.

Geometry as CIF:
```
data_ZrTaGe2
_cell_length_a 6.021
_cell_length_b 6.021
_cell_length_c 11.852
_cell_angle_alpha 90.00
_cell_angle_beta 90.00
_cell_angle_gamma 90.00
_space_group_name_H-M_alt 'I -4 2 d'
_space_group_IT_number 122
_space_group_name_Hall 'I -4 2bw'
loop_
_atom_site_label
_atom_site_fract_x
_atom_site_fract_y
_atom_site_fract_z
Zr1 0.000 0.000 0.000
Ta1 0.000 0.000 0.500
Ge1 0.229 0.250 0.625
```

[4]
Computed, not measured: crystalline TmCd4Pd2 at its relaxed geometry at the GGA-PBE level of DFT.

Its energy relative to the elements is -0.351 eV/atom. The calculation puts the density of states at the Fermi level at 3.17 states/eV/f.u. The uncorrected energy comes out at -41.942 eV per cell.

Geometry as CIF:
```
data_TmCd4Pd2
_cell_length_a 4.572
_cell_length_b 19.036
_cell_length_c 3.326
_cell_angle_alpha 90.00
_cell_angle_beta 90.00
_cell_angle_gamma 90.00
_space_group_name_H-M_alt 'C m m m'
_space_group_IT_number 65
_space_group_name_Hall '-C 2 2'
loop_
_atom_site_label
_atom_site_fract_x
_atom_site_fract_y
_atom_site_fract_z
Tm1 0.000 0.000 0.000
Cd1 0.000 0.154 0.500
Cd2 0.000 0.304 0.000
Pd1 0.000 0.430 0.500
```

[5]
Computed, not measured: crystalline OsRu2Cl at its relaxed geometry at the GGA-PBE level of DFT.

The calculation puts the density of states at the Fermi level at 5.37 states/eV/f.u. The uncorrected energy comes out at -55.677 eV per cell.

Geometry as CIF:
```
data_OsRu2Cl
_cell_length_a 2.840
_cell_length_b 4.546
_cell_length_c 8.815
_cell_angle_alpha 90.00
_cell_angle_beta 90.00
_cell_angle_gamma 90.00
_space_group_name_H-M_alt 'I m m m'
_space_group_IT_number 71
_space_group_name_Hall '-I 2 2'
loop_
_atom_site_label
_atom_site_fract_x
_atom_site_fract_y
_atom_site_fract_z
Os1 0.000 0.000 0.000
Ru1 0.000 0.500 0.233
Cl1 0.000 0.000 0.500
```

[6]
Computed, not measured: crystalline PaPF at its relaxed geometry at the GGA-PBE level of DFT.

The calculation puts the density of states at the Fermi level at 5.04 states/eV/f.u. The uncorrected energy comes out at -88.454 eV per cell.

Geometry as CIF:
```
data_PaPF
_cell_length_a 6.275
_cell_length_b 6.275
_cell_length_c 6.275
_cell_angle_alpha 90.00
_cell_angle_beta 90.00
_cell_angle_gamma 90.00
_space_group_name_H-M_alt 'F -4 3 m'
_space_group_IT_number 216
_space_group_name_Hall 'F -4 2 3'
loop_
_atom_site_label
_atom_site_fract_x
_atom_site_fract_y
_atom_site_fract_z
Pa1 0.000 0.000 0.000
P1 0.250 0.250 0.750
F1 0.250 0.250 0.250
```

[7]
Computed, not measured: crystalline LiCdPt2 at its relaxed geometry at the GGA-PBE level of DFT.

Its energy relative to the elements is -0.422 eV/atom. The calculation puts the density of states at the Fermi level at 1.92 states/eV/f.u. The uncorrected energy comes out at -16.600 eV per cell.

Geometry as CIF:
```
data_LiCdPt2
_cell_length_a 2.854
_cell_length_b 3.882
_cell_length_c 5.742
_cell_angle_alpha 90.00
_cell_angle_beta 90.00
_cell_angle_gamma 90.00
_space_group_name_H-M_alt 'P m m m'
_space_group_IT_number 47
loop_
_space_group_symop_operation_xyz
'x,y,z'
'-x,-y,-z'
'-x,-y,z'
'x,y,-z'
'x,-y,-z'
'-x,y,z'
'-x,y,-z'
'x,-y,z'
loop_
_atom_site_label
_atom_site_fract_x
_atom_site_fract_y
_atom_site_fract_z
Li1 0.000 0.000 0.000
Cd1 0.000 0.000 0.500
Pt1 0.500 0.500 0.234
```

[8]
Computed, not measured: crystalline BaSiTe3 at its relaxed geometry at the GGA-PBE level of DFT.

The calculation puts the density of states at the Fermi level at 6.18 states/eV/f.u. The uncorrected energy comes out at -12.701 eV per cell.

Geometry as CIF:
```
data_BaSiTe3
_cell_length_a 6.567
_cell_length_b 6.567
_cell_length_c 6.567
_cell_angle_alpha 90.00
_cell_angle_beta 90.00
_cell_angle_gamma 90.00
_space_group_name_H-M_alt 'P m -3 m'
_space_group_IT_number 221
_space_group_name_Hall '-P 4 2 3'
loop_
_atom_site_label
_atom_site_fract_x
_atom_site_fract_y
_atom_site_fract_z
Ba1 0.000 0.000 0.000
Si1 0.500 0.500 0.500
Te1 0.000 0.000 0.500
```

Question: Which of these has the highest uncorrected energy?
Answer: BaSiTe3